Entry 1:
A relaxed structure of Ac7CoI12. Source: Alexandria via LeMat-Bulk, functional GGA-PBE.

a = 12.232 Å, b = 10.523 Å, c = 10.523 Å
α = 105.95°, β = 112.80°, γ = 112.80°
Sites, in units of the cell vectors:
I1 0.538 0.914 0.702
I2 0.624 0.787 0.086
I3 0.940 0.159 0.606
I4 0.376 0.213 0.914
I5 0.333 0.394 0.552
I6 0.667 0.606 0.448
I7 0.164 0.702 0.787
I8 0.219 0.552 0.159
I9 0.836 0.298 0.213
I10 0.781 0.448 0.841
I11 0.462 0.086 0.298
I12 0.060 0.841 0.394
Ac1 0.987 0.084 0.279
Ac2 0.903 0.196 0.916
Ac3 0.707 0.721 0.804
Ac4 0.500 0.000 0.000
Ac5 0.013 0.916 0.721
Ac6 0.097 0.804 0.084
Ac7 0.293 0.279 0.196
Co1 0.000 0.000 0.000

Results
Total DFT energy (no corrections)   -3.9917 eV per atom
SG   R-3, No. 148



Entry 2:
A relaxed structure of Cs3CeCu2Cl9. Source: Alexandria via LeMat-Bulk, functional GGA-PBE.

a = 7.670 Å, b = 7.670 Å, c = 9.652 Å
α = 90.00°, β = 90.00°, γ = 120.00°
Each line ends with the local moment (μB).
Sites, in units of the cell vectors:
Cs1 0.667 0.333 0.358  0.00
Cs2 0.000 0.000 0.000  0.00
Cs3 0.333 0.667 0.642  0.00
Cl1 0.000 0.500 0.000  0.00
Cl2 0.163 0.326 0.340  -0.01
Cl3 0.163 0.837 0.340  -0.01
Cl4 0.837 0.674 0.660  -0.01
Cl5 0.500 0.000 0.000  0.00
Cl6 0.674 0.837 0.340  -0.01
Cl7 0.500 0.500 0.000  0.00
Cl8 0.326 0.163 0.660  -0.01
Cl9 0.837 0.163 0.660  -0.01
Cu1 0.333 0.667 0.034  0.00
Cu2 0.667 0.333 0.966  0.00
Ce1 0.000 0.000 0.500  0.34

Results
Total DFT energy (no corrections)   -3.8190 eV per atom
SG   P-3m1, No. 164



Entry 3:
A relaxed structure of K2TaRuCl. Source: Alexandria via LeMat-Bulk, functional GGA-PBE.

a = 6.571 Å, b = 4.288 Å, c = 6.571 Å
α = 90.00°, β = 90.00°, γ = 90.00°
Each line ends with the local moment (μB).
Sites, in units of the cell vectors:
Ru1 0.000 0.000 0.000  -0.34
K1 0.500 0.000 0.000  0.02
K2 0.000 0.000 0.500  0.02
Ta1 0.500 0.500 0.500  2.23
Cl1 0.000 0.500 0.000  0.01

Results
Total DFT energy (no corrections)   -3.6045 eV per atom
SG   P4/mmm, No. 123



Entry 4:
A relaxed structure of Tc2AgSb. Source: Alexandria via LeMat-Bulk, functional GGA-PBE.

a = 5.482 Å, b = 5.482 Å, c = 5.482 Å
α = 146.77°, β = 130.44°, γ = 60.98°
Sites, in units of the cell vectors:
Tc1 0.768 0.268 0.500
Tc2 0.000 0.000 0.000
Sb1 0.235 0.735 0.500
Ag1 0.497 0.497 0.000

Results
Total DFT energy (no corrections)   -6.4472 eV per atom
SG   Imm2, No. 44



Entry 5:
A relaxed structure of Tb5Te4C. Source: Alexandria via LeMat-Bulk, functional GGA-PBE.

a = 6.030 Å, b = 7.373 Å, c = 7.373 Å
α = 80.37°, β = 65.86°, γ = 65.86°
Sites, in units of the cell vectors:
Tb1 0.094 0.665 0.153
Tb2 0.459 0.000 0.000
Tb3 0.759 0.153 0.335
Tb4 0.912 0.335 0.847
Tb5 0.248 0.847 0.665
C1 0.030 0.000 0.000
Te1 0.416 0.396 0.776
Te2 0.192 0.224 0.396
Te3 0.812 0.776 0.604
Te4 0.588 0.604 0.224

Results
Total DFT energy (no corrections)   -5.6285 eV per atom
SG   I4, No. 79



Entry 6:
A relaxed structure of SrRhCl2. Source: Alexandria via LeMat-Bulk, functional GGA-PBE.

a = 3.944 Å, b = 5.578 Å, c = 4.102 Å
α = 90.00°, β = 90.00°, γ = 90.00°
Each line ends with the local moment (μB).
Sites, in units of the cell vectors:
Sr1 0.000 0.500 0.500  -0.01
Rh1 0.500 0.000 0.500  0.92
Cl1 0.500 0.500 0.000  0.00
Cl2 0.000 0.000 0.000  0.05

Results
Energy relative to the lowest polymorph listed for this composition   0.88 eV/f.u.
SG   Pmmm, No. 47



Entry 7:
A relaxed structure of CsMgTa. Source: Alexandria via LeMat-Bulk, functional GGA-PBE.

a = 17.119 Å, b = 4.961 Å, c = 4.961 Å
α = 120.00°, β = 125.11°, γ = 54.89°
Sites, in units of the cell vectors:
Ta1 0.090 0.382 0.618
Ta2 0.910 0.618 0.382
Cs1 0.316 0.416 0.584
Cs2 0.684 0.584 0.416
Mg1 0.009 0.155 0.845
Mg2 0.991 0.845 0.155

Results
Energy relative to the lowest polymorph listed for this composition   0.82 eV/f.u.
SG   C2/m, No. 12
ΔE_f   2.519 eV/f.u.



Entry 8:
A relaxed structure of HfZrScMo. Source: Alexandria via LeMat-Bulk, functional GGA-PBE.

a = 4.865 Å, b = 4.865 Å, c = 4.865 Å
α = 60.00°, β = 60.00°, γ = 60.00°
Sites, in units of the cell vectors:
Sc1 0.000 0.000 0.000
Zr1 0.250 0.250 0.250
Mo1 0.500 0.500 0.500
Hf1 0.750 0.750 0.750

Results
SG   F-43m, No. 216
ΔE_f   0.300 eV/f.u.



Entry 9:
A relaxed structure of Pm2Dy5Ge4. Source: Alexandria via LeMat-Bulk, functional GGA-PBE.

a = 3.494 Å, b = 6.965 Å, c = 12.972 Å
α = 87.30°, β = 97.74°, γ = 90.00°
Sites, in units of the cell vectors:
Dy1 0.238 0.242 0.476
Dy2 0.762 0.758 0.524
Dy3 0.870 0.203 0.739
Dy4 0.500 0.000 0.000
Dy5 0.130 0.797 0.261
Ge1 0.676 0.498 0.351
Ge2 0.324 0.502 0.649
Ge3 0.976 0.343 0.952
Ge4 0.024 0.657 0.048
Pm1 0.905 0.705 0.811
Pm2 0.095 0.295 0.189

Results
SG   C2/m, No. 12
ΔE_f   -3.858 eV/f.u.



Entry 10:
A relaxed structure of Li4Np3ZnS8. Source: Alexandria via LeMat-Bulk, functional GGA-PBE.

a = 7.708 Å, b = 7.588 Å, c = 7.710 Å
α = 120.53°, β = 119.99°, γ = 90.00°
Each line ends with the local moment (μB).
Sites, in units of the cell vectors:
S1 0.249 0.246 0.497  -0.09
S2 0.241 0.253 0.997  -0.07
S3 0.755 0.252 0.511  -0.07
S4 0.759 0.747 0.003  -0.07
S5 0.756 0.253 0.997  -0.07
S6 0.245 0.748 0.489  -0.07
S7 0.244 0.747 0.003  -0.07
S8 0.751 0.754 0.503  -0.09
Np1 0.000 0.500 0.500  3.68
Np2 0.500 0.500 0.500  3.68
Np3 0.500 0.500 0.000  3.68
Li1 0.000 0.000 0.500  0.00
Li2 0.000 0.000 0.000  0.00
Li3 0.500 0.000 0.000  0.00
Li4 0.500 0.000 0.500  0.00
Zn1 0.000 0.500 0.000  0.01

Results
Total DFT energy (no corrections)   -6.2769 eV per atom
SG   R-3m, No. 166



Entry 11:
A relaxed structure of LaSm2ThBi4. Source: Alexandria via LeMat-Bulk, functional GGA-PBE.

a = 6.515 Å, b = 6.515 Å, c = 7.972 Å
α = 114.12°, β = 114.12°, γ = 90.00°
Sites, in units of the cell vectors:
Th1 0.750 0.250 0.500
Bi1 0.247 0.247 0.495
Bi2 0.500 0.000 0.001
Bi3 0.000 0.500 0.999
Bi4 0.753 0.753 0.505
La1 0.500 0.500 0.000
Sm1 0.000 0.000 0.000
Sm2 0.250 0.750 0.500

Results
SG   I-4m2, No. 119
ΔE_f   -7.008 eV/f.u.



Entry 12:
A relaxed structure of AcHoSc2. Source: Alexandria via LeMat-Bulk, functional GGA-PBE.

a = 3.983 Å, b = 3.983 Å, c = 7.724 Å
α = 90.00°, β = 90.00°, γ = 90.00°
Sites, in units of the cell vectors:
Ho1 0.500 0.500 0.000
Sc1 0.000 0.000 0.227
Sc2 0.000 0.000 0.773
Ac1 0.500 0.500 0.500

Results
Energy relative to the lowest polymorph listed for this composition   0.00 eV/f.u.
SG   P4/mmm, No. 123
ΔE_f   0.369 eV/f.u.



Entry 13:
A relaxed structure of ZnSiAg2. Source: Alexandria via LeMat-Bulk, functional GGA-PBE.

a = 4.911 Å, b = 4.911 Å, c = 4.911 Å
α = 130.83°, β = 130.83°, γ = 72.08°
Sites, in units of the cell vectors:
Ag1 0.000 0.000 0.000
Ag2 0.500 0.500 0.000
Zn1 0.750 0.250 0.500
Si1 0.250 0.750 0.500

Results
Energy relative to the lowest polymorph listed for this composition   0.26 eV/f.u.
SG   I4/mmm, No. 139



Entry 14:
A relaxed structure of CsSb2O6. Source: Alexandria via LeMat-Bulk, functional GGA-PBE.

a = 7.411 Å, b = 7.411 Å, c = 7.411 Å
α = 60.00°, β = 60.00°, γ = 60.00°
Each line ends with the local moment (μB).
Sites, in units of the cell vectors:
Sb1 0.125 0.625 0.125  -0.01
Sb2 0.125 0.125 0.625  -0.01
Sb3 0.625 0.125 0.125  -0.01
Sb4 0.125 0.125 0.125  -0.01
O1 0.198 0.802 0.802  0.15
O2 0.052 0.448 0.052  0.15
O3 0.802 0.198 0.802  0.15
O4 0.448 0.052 0.052  0.15
O5 0.052 0.052 0.448  0.15
O6 0.198 0.802 0.198  0.15
O7 0.802 0.198 0.198  0.15
O8 0.448 0.052 0.448  0.15
O9 0.052 0.448 0.448  0.15
O10 0.802 0.802 0.198  0.15
O11 0.198 0.198 0.802  0.15
O12 0.448 0.448 0.052  0.15
Cs1 0.500 0.500 0.500  0.00
Cs2 0.750 0.750 0.750  0.00

Results
Total DFT energy (no corrections)   -5.6847 eV per atom
SG   Fd-3m, No. 227



Entry 15:
A relaxed structure of Tb8Pm6Er. Source: Alexandria via LeMat-Bulk, functional GGA-PBE.

a = 6.546 Å, b = 9.399 Å, c = 9.399 Å
α = 119.99°, β = 90.01°, γ = 90.00°
Sites, in units of the cell vectors:
Tb1 0.659 0.346 0.908
Tb2 0.659 0.092 0.437
Tb3 0.341 0.654 0.092
Tb4 0.120 0.333 0.667
Tb5 0.341 0.437 0.345
Tb6 0.880 0.667 0.333
Tb7 0.341 0.908 0.563
Tb8 0.659 0.563 0.655
Er1 0.500 0.000 0.000
Pm1 0.165 0.033 0.285
Pm2 0.165 0.715 0.748
Pm3 0.835 0.285 0.252
Pm4 0.835 0.748 0.033
Pm5 0.165 0.252 0.967
Pm6 0.835 0.967 0.715

Results
SG   P-3, No. 147
ΔE_f   2.625 eV/f.u.



Entry 16:
A relaxed structure of Ca3Ga4Au4. Source: Alexandria via LeMat-Bulk, functional GGA-PBE.

a = 4.384 Å, b = 7.254 Å, c = 8.512 Å
α = 115.22°, β = 104.92°, γ = 90.00°
Sites, in units of the cell vectors:
Ca1 0.128 0.128 0.256
Ca2 0.000 0.500 0.000
Ca3 0.872 0.872 0.744
Ga1 0.329 0.135 0.658
Ga2 0.329 0.523 0.658
Ga3 0.671 0.865 0.342
Ga4 0.671 0.477 0.342
Au1 0.216 0.716 0.431
Au2 0.500 0.200 0.000
Au3 0.500 0.800 0.000
Au4 0.784 0.284 0.569

Results
Energy relative to the lowest polymorph listed for this composition   0.00 eV/f.u.
SG   Immm, No. 71
ΔE_f   -7.204 eV/f.u.



Entry 17:
A relaxed structure of Mg3ZrFe. Source: Alexandria via LeMat-Bulk, functional GGA-PBE.

a = 5.447 Å, b = 5.447 Å, c = 5.447 Å
α = 90.00°, β = 90.00°, γ = 90.00°
Each line ends with the local moment (μB).
Sites, in units of the cell vectors:
Mg1 0.500 0.000 0.000  0.03
Mg2 0.000 0.000 0.500  0.00
Mg3 0.000 0.500 0.000  0.00
Fe1 0.500 0.500 0.500  3.30
Zr1 0.000 0.000 0.000  0.41

Results
Energy relative to the lowest polymorph listed for this composition   5.30 eV/f.u.
SG   Pm-3m, No. 221
ΔE_f   8.448 eV/f.u.